# 1
Compound: GdAlCd2
Source: the Open Quantum Materials Database
Functional: GGA-PBE
Structure: relaxed

Computed properties:
V, Å³/f.u.: 89.78
Total energy, eV/atom: -2.840
Mass density, Mg/m³: 7.57

a b c (Å): 4.8253 6.6636 11.1685
angles (deg): 90.00 90.00 90.00
Space group Amm2 (No. 38)
One atom of each set of equivalent atoms:
Gd (0.0000, 0.0000, 0.0000) [2 per cell]
Gd (0.5000, 0.0000, 0.3243) [2 per cell]
Al (0.0000, 0.2318, 0.7445) [4 per cell]
Cd (0.0000, 0.0000, 0.5032) [2 per cell]
Cd (0.5000, 0.0000, 0.8244) [2 per cell]
Cd (0.5000, 0.2398, 0.5863) [4 per cell]



# 2
Compound: CsAlRe
Source: the Open Quantum Materials Database
Functional: GGA-PBE
Structure: relaxed

Computed properties:
V, Å³/f.u.: 92.08
Total energy, eV/atom: -3.611
Energy above the lowest structure with this stoichiometry, meV/atom: 233
Mass density, Mg/m³: 6.24

a b c (Å): 7.1683 7.1683 7.1683
angles (deg): 90.00 90.00 90.00
Space group F-43m (No. 216)
One atom of each set of equivalent atoms:
Cs (0.0000, 0.0000, 0.0000) [4 per cell]
Al (0.2500, 0.2500, 0.2500) [4 per cell]
Re (0.0000, 0.0000, 0.5000) [4 per cell]